## LiSmMnIr (PBE)

Data for a relaxed structure of LiSmMnIr.

Calculated values
The calculation puts the density of states at the Fermi level at 0.68 states/eV per atom. The space group is F-43m (216). The raw total energy is -25.34 eV per formula unit.

Cell: 4.711 4.711 4.711 Å, 60.00 60.00 60.00°
Fractional coordinates of all 4 atoms:
Li 0.000 0.000 0.000
Sm 0.750 0.750 0.750
Mn 0.250 0.250 0.250
Ir 0.500 0.500 0.500



## Ba2TlW (PBE)

Data for a relaxed structure of Ba2TlW.

Calculated values
The calculation puts the density of states at the Fermi level at 1.08 states/eV per atom. The space group is Pm (6). The raw total energy is -15.71 eV per formula unit.

Cell: 3.612 5.185 7.323 Å, 90.00 104.18 90.00°
Fractional coordinates of all 4 atoms:
Ba 0.000 0.000 0.000
Ba 0.306 0.500 0.617
Tl 0.601 0.500 0.204
W 0.701 0.000 0.407



## La2TbSmTm5 (PBE)

Data for a relaxed structure of La2TbSmTm5.

Calculated values
The calculation puts the density of states at the Fermi level at 1.28 states/eV per atom. The space group is I4/mcm (140). The raw total energy is -39.26 eV per formula unit.

Cell: 9.933 9.933 9.933 Å, 128.75 128.75 75.42°
Fractional coordinates of all 18 atoms:
La 0.118 0.618 0.736
La 0.382 0.118 0.500
La 0.618 0.882 0.500
La 0.882 0.382 0.264
Tb 0.250 0.250 0.000
Tb 0.750 0.750 0.000
Sm 0.250 0.750 0.500
Sm 0.750 0.250 0.500
Tm 0.000 0.000 0.000
Tm 0.073 0.143 0.500
Tm 0.143 0.643 0.070
Tm 0.357 0.427 0.500
Tm 0.427 0.927 0.070
Tm 0.500 0.500 0.000
Tm 0.573 0.073 0.930
Tm 0.643 0.573 0.500
Tm 0.857 0.357 0.930
Tm 0.927 0.857 0.500



## NbGaTcPd (PBE)

Data for a relaxed structure of NbGaTcPd.

Calculated values
The calculation puts the density of states at the Fermi level at 0.90 states/eV per atom. The space group is F-43m (216). The raw total energy is -29.68 eV per formula unit.

Cell: 4.462 4.462 4.462 Å, 60.00 60.00 60.00°
Fractional coordinates of all 4 atoms:
Nb 0.000 0.000 0.000
Ga 0.500 0.500 0.500
Tc 0.750 0.750 0.750
Pd 0.250 0.250 0.250



## SrSc2Cu2 (PBE)

Data for a relaxed structure of SrSc2Cu2.

Calculated values
The calculation puts the density of states at the Fermi level at 0.67 states/eV per atom. The space group is P4/mbm (127). The raw total energy is -22.47 eV per formula unit.

Cell: 8.204 8.204 3.148 Å, 90.00 90.00 90.00°
Fractional coordinates of all 10 atoms:
Sr 0.000 0.000 0.000
Sr 0.500 0.500 0.000
Sc 0.132 0.368 0.000
Sc 0.368 0.868 0.000
Sc 0.632 0.132 0.000
Sc 0.868 0.632 0.000
Cu 0.157 0.657 0.500
Cu 0.343 0.157 0.500
Cu 0.657 0.843 0.500
Cu 0.843 0.343 0.500



## Si2SbOs (PBE)

Data for a relaxed structure of Si2SbOs.

Calculated values
The calculation puts the density of states at the Fermi level at 0.69 states/eV per atom. The space group is Pmmm (47). The formation energy (no corrections) comes out at 744 meV per atom.

Cell: 3.118 4.417 4.920 Å, 90.00 90.00 90.00°
Fractional coordinates of all 4 atoms:
Si 0.000 0.000 0.000
Si 0.500 0.000 0.500
Sb 0.000 0.500 0.500
Os 0.500 0.500 0.000



## BaCdAu (PBE)

Data for a relaxed structure of BaCdAu.

Calculated values
The calculation puts the density of states at the Fermi level at 0.75 states/eV per atom. The space group is F-43m (216). The raw total energy is -6.59 eV per formula unit.

Cell: 5.504 5.504 5.504 Å, 60.00 60.00 60.00°
Fractional coordinates of all 3 atoms:
Ba 0.000 0.000 0.000
Cd 0.750 0.750 0.750
Au 0.250 0.250 0.250



## KDyCuBr5 (PBE)

Data for a relaxed structure of KDyCuBr5.

Calculated values
The calculation puts the density of states at the Fermi level at 0.00 states/eV per atom. The space group is C2/c (15). The formation energy (no corrections) comes out at -1428 meV per atom.

Cell: 7.710 7.710 10.493 Å, 103.60 103.60 106.63°
Fractional coordinates of all 16 atoms:
K 0.145 0.855 0.750
K 0.855 0.145 0.250
Dy 0.500 0.500 0.000
Dy 0.500 0.500 0.500
Cu 0.190 0.810 0.250
Cu 0.810 0.190 0.750
Br 0.119 0.257 0.932
Br 0.182 0.588 0.384
Br 0.257 0.119 0.432
Br 0.412 0.818 0.116
Br 0.415 0.585 0.750
Br 0.585 0.415 0.250
Br 0.588 0.182 0.884
Br 0.743 0.881 0.568
Br 0.818 0.412 0.616
Br 0.881 0.743 0.068



## RbBe2GaCl6 (PBE)

Data for a relaxed structure of RbBe2GaCl6.

Calculated values
The calculation puts the density of states at the Fermi level at 0.00 states/eV per atom. The space group is C2/c (15). The formation energy (no corrections) comes out at -1377 meV per atom.

Cell: 8.871 8.871 8.320 Å, 105.07 105.07 87.12°
Fractional coordinates of all 20 atoms:
Rb 0.154 0.846 0.750
Rb 0.846 0.154 0.250
Be 0.133 0.337 0.691
Be 0.337 0.133 0.191
Be 0.663 0.867 0.809
Be 0.867 0.663 0.309
Ga 0.402 0.598 0.250
Ga 0.598 0.402 0.750
Cl 0.082 0.600 0.348
Cl 0.143 0.189 0.057
Cl 0.189 0.143 0.557
Cl 0.295 0.485 0.846
Cl 0.400 0.918 0.152
Cl 0.485 0.295 0.346
Cl 0.515 0.705 0.654
Cl 0.600 0.082 0.848
Cl 0.705 0.515 0.154
Cl 0.811 0.857 0.443
Cl 0.857 0.811 0.943
Cl 0.918 0.400 0.652



## PrDyCoBr (PBE)

Data for a relaxed structure of PrDyCoBr.

Calculated values
The calculation puts the density of states at the Fermi level at 0.22 states/eV per atom. The space group is Cm (8). The formation energy (no corrections) comes out at -710 meV per atom.

Cell: 3.922 3.922 8.130 Å, 104.01 104.01 60.04°
Fractional coordinates of all 4 atoms:
Pr 0.000 0.000 0.000
Dy 0.207 0.207 0.619
Co 0.601 0.601 0.803
Br 0.775 0.775 0.325



## LiPrF3 (PBE)

Data for a relaxed structure of LiPrF3.

Calculated values
The calculation puts the density of states at the Fermi level at 0.06 states/eV per atom. The space group is P2_1/c (14). The formation energy (no corrections) comes out at -3175 meV per atom.

Cell: 6.773 4.788 9.182 Å, 90.00 108.36 90.00°
Fractional coordinates of all 20 atoms:
Li 0.108 0.238 0.012
Li 0.108 0.262 0.512
Li 0.892 0.738 0.488
Li 0.892 0.762 0.988
Pr 0.313 0.737 0.835
Pr 0.313 0.763 0.335
Pr 0.687 0.237 0.665
Pr 0.687 0.263 0.165
F 0.018 0.042 0.168
F 0.018 0.458 0.668
F 0.188 0.618 0.069
F 0.188 0.882 0.569
F 0.367 0.244 0.945
F 0.367 0.256 0.445
F 0.633 0.744 0.555
F 0.633 0.756 0.055
F 0.812 0.118 0.431
F 0.812 0.382 0.931
F 0.982 0.542 0.332
F 0.982 0.958 0.832



## MnCrGaHg2 (PBE)

Data for a relaxed structure of MnCrGaHg2.

Calculated values
The calculation puts the density of states at the Fermi level at 0.58 states/eV per atom. The space group is P4/mmm (123). The raw total energy is -18.98 eV per formula unit.

Cell: 5.214 5.214 4.249 Å, 90.00 90.00 90.00°
Fractional coordinates of all 5 atoms:
Mn 0.000 0.000 0.000
Cr 0.000 0.000 0.500
Ga 0.500 0.500 0.500
Hg 0.000 0.500 0.000
Hg 0.500 0.000 0.000



## BaAcMg (PBE)

Data for a relaxed structure of BaAcMg.

Calculated values
The calculation puts the density of states at the Fermi level at 1.40 states/eV per atom. The space group is P4/nmm (129). The raw total energy is -7.46 eV per formula unit.

Cell: 5.455 5.455 9.260 Å, 90.00 90.00 90.00°
Fractional coordinates of all 6 atoms:
Ba 0.250 0.250 0.152
Ba 0.750 0.750 0.848
Ac 0.250 0.750 0.500
Ac 0.750 0.250 0.500
Mg 0.250 0.250 0.742
Mg 0.750 0.750 0.258



## MgAsF2 (PBE)

Data for a relaxed structure of MgAsF2.

Calculated values
The calculation puts the density of states at the Fermi level at 0.58 states/eV per atom. The space group is Fm-3m (225). The formation energy (no corrections) comes out at -1022 meV per atom.

Cell: 4.350 4.350 4.350 Å, 60.00 60.00 60.00°
Fractional coordinates of all 4 atoms:
Mg 0.000 0.000 0.000
As 0.500 0.500 0.500
F 0.250 0.250 0.250
F 0.750 0.750 0.750



## HgSbPb2Se5 (PBE)

Data for a relaxed structure of HgSbPb2Se5.

Calculated values
The calculation puts the density of states at the Fermi level at 0.43 states/eV per atom. The space group is Cmc2_1 (36). The formation energy (no corrections) comes out at -301 meV per atom.

Cell: 9.545 9.545 13.214 Å, 90.00 90.00 154.92°
Fractional coordinates of all 18 atoms:
Hg 0.064 0.936 0.500
Hg 0.936 0.064 0.000
Sb 0.264 0.736 0.090
Sb 0.736 0.264 0.590
Pb 0.373 0.627 0.358
Pb 0.422 0.578 0.706
Pb 0.578 0.422 0.206
Pb 0.627 0.373 0.858
Se 0.003 0.997 0.829
Se 0.123 0.877 0.044
Se 0.216 0.784 0.445
Se 0.247 0.753 0.745
Se 0.427 0.573 0.126
Se 0.573 0.427 0.626
Se 0.753 0.247 0.245
Se 0.784 0.216 0.945
Se 0.877 0.123 0.544
Se 0.997 0.003 0.329



## La3InC (PBE)

Data for a relaxed structure of La3InC.

Calculated values
The calculation puts the density of states at the Fermi level at 0.32 states/eV per atom. The space group is Pm-3m (221). The raw total energy is -19.20 eV per formula unit.

Cell: 5.923 5.923 5.923 Å, 90.00 90.00 90.00°
Fractional coordinates of all 5 atoms:
La 0.000 0.000 0.500
La 0.000 0.500 0.000
La 0.500 0.000 0.000
In 0.000 0.000 0.000
C 0.500 0.500 0.500



## BeSbBr2 (PBE)

Data for a relaxed structure of BeSbBr2.

Calculated values
The calculation puts the density of states at the Fermi level at 0.29 states/eV per atom. The space group is P4mm (99). The formation energy (no corrections) comes out at 135 meV per atom.

Cell: 3.393 3.393 8.608 Å, 90.00 90.00 90.00°
Fractional coordinates of all 4 atoms:
Be 0.000 0.000 0.000
Sb 0.500 0.500 0.809
Br 0.000 0.000 0.575
Br 0.500 0.500 0.159



## Rb3MoCl6 (PBE)

Data for a relaxed structure of Rb3MoCl6.

Calculated values
The calculation puts the density of states at the Fermi level at 0.00 states/eV per atom. The space group is R-3 (148). The formation energy (no corrections) comes out at -1538 meV per atom.

Cell: 8.967 8.967 8.967 Å, 91.22 91.22 91.22°
Fractional coordinates of all 20 atoms:
Rb 0.068 0.571 0.750
Rb 0.250 0.932 0.429
Rb 0.429 0.250 0.932
Rb 0.571 0.750 0.068
Rb 0.750 0.068 0.571
Rb 0.932 0.429 0.250
Mo 0.000 0.000 0.000
Mo 0.500 0.500 0.500
Cl 0.048 0.936 0.735
Cl 0.064 0.265 0.952
Cl 0.240 0.557 0.423
Cl 0.265 0.952 0.064
Cl 0.424 0.240 0.557
Cl 0.443 0.577 0.760
Cl 0.557 0.424 0.240
Cl 0.577 0.760 0.443
Cl 0.735 0.048 0.936
Cl 0.760 0.443 0.576
Cl 0.936 0.735 0.048
Cl 0.952 0.064 0.265



## Cs2TcI2Br4 (PBE)

Data for a relaxed structure of Cs2TcI2Br4.

Calculated values
The space group is I4/mmm (139). The formation energy (no corrections) comes out at -993 meV per atom.

Cell: 7.946 7.946 7.946 Å, 118.50 118.50 92.62°
Fractional coordinates of all 9 atoms:
Cs 0.250 0.750 0.500
Cs 0.750 0.250 0.500
Tc 0.000 0.000 0.000
I 0.251 0.251 0.000
I 0.749 0.749 0.000
Br 0.222 0.222 0.443
Br 0.222 0.778 0.000
Br 0.778 0.222 0.000
Br 0.778 0.778 0.557



## HoTmSO2 (PBE)

Data for a relaxed structure of HoTmSO2.

Calculated values
The calculation puts the density of states at the Fermi level at 0.00 states/eV per atom. The space group is P2_1/m (11). The formation energy (no corrections) comes out at -3171 meV per atom.

Cell: 6.237 3.949 7.393 Å, 90.00 107.48 90.00°
Fractional coordinates of all 10 atoms:
Ho 0.188 0.250 0.426
Ho 0.812 0.750 0.574
Tm 0.184 0.250 0.920
Tm 0.816 0.750 0.080
S 0.458 0.750 0.741
S 0.542 0.250 0.259
O 0.017 0.750 0.884
O 0.022 0.750 0.376
O 0.978 0.250 0.624
O 0.983 0.250 0.116



## ScMoW2 (PBE)

Data for a relaxed structure of ScMoW2.

Calculated values
The calculation puts the density of states at the Fermi level at 0.81 states/eV per atom. The space group is Imm2 (44). The raw total energy is -42.54 eV per formula unit.

Cell: 5.380 5.380 5.380 Å, 145.67 128.63 63.25°
Fractional coordinates of all 4 atoms:
Sc 0.000 0.000 0.000
Mo 0.740 0.240 0.500
W 0.265 0.765 0.500
W 0.504 0.504 0.000



## CaGe2Bi2 (PBE)

Data for a relaxed structure of CaGe2Bi2.

Calculated values
The calculation puts the density of states at the Fermi level at 0.55 states/eV per atom. The space group is I4/mmm (139). The raw total energy is -19.30 eV per formula unit.

Cell: 8.710 8.710 8.710 Å, 152.37 152.37 39.47°
Fractional coordinates of all 5 atoms:
Ca 0.000 0.000 0.000
Ge 0.250 0.750 0.500
Ge 0.750 0.250 0.500
Bi 0.399 0.399 0.000
Bi 0.601 0.601 0.000



## NaTl2Cl8 (PBE)

Data for a relaxed structure of NaTl2Cl8.

Calculated values
The calculation puts the density of states at the Fermi level at 0.63 states/eV per atom. The space group is C2/m (12). The formation energy (no corrections) comes out at -696 meV per atom.

Cell: 8.347 8.347 6.617 Å, 102.61 102.61 58.05°
Fractional coordinates of all 11 atoms:
Na 0.000 0.000 0.000
Tl 0.178 0.178 0.653
Tl 0.822 0.822 0.347
Cl 0.152 0.696 0.265
Cl 0.180 0.180 0.283
Cl 0.304 0.848 0.735
Cl 0.340 0.340 0.863
Cl 0.660 0.660 0.137
Cl 0.696 0.152 0.265
Cl 0.820 0.820 0.717
Cl 0.848 0.304 0.735



## NpFeCoRu (PBE)

Data for a relaxed structure of NpFeCoRu.

Calculated values
The calculation puts the density of states at the Fermi level at 1.50 states/eV per atom. The space group is F-43m (216). The raw total energy is -37.28 eV per formula unit.

Cell: 4.412 4.412 4.412 Å, 60.00 60.00 60.00°
Fractional coordinates of all 4 atoms:
Np 0.000 0.000 0.000
Fe 0.500 0.500 0.500
Co 0.250 0.250 0.250
Ru 0.750 0.750 0.750



| no. | mass density (Mg/m³) | total magnetic moment (μB per formula unit) |
| --- | --- | --- |
| 1 | 9.1 | 4.2 |
| 2 | 8.3 | 0.0 |
| 3 | 8.2 | 0.0 |
| 4 | 9.7 | 0.0 |
| 5 | 4.8 | 0.0 |
| 6 | 9.0 | 0.0 |
| 7 | 6.3 | 0.0 |
| 8 | 4.0 | 0.1 |
| 9 | 2.1 | 0.0 |
| 10 | 7.1 | 0.0 |
| 11 | 4.8 | 1.0 |
| 12 | 8.3 | 1.0 |
| 13 | 4.7 | 0.0 |
| 14 | 3.9 | 1.0 |
| 15 | 7.4 | 0.0 |
| 16 | 4.3 | 0.0 |
| 17 | 4.9 | 0.0 |
| 18 | 2.6 | 3.0 |
| 19 | 4.3 | 3.1 |
| 20 | 7.6 | 0.0 |
| 21 | 12.4 | 0.0 |
| 22 | 7.1 | 0.0 |
| 23 | 3.1 | 1.1 |
| 24 | 12.4 | 0.8 |